Record 1
An optimized crystal structure of TiPdS3, computed with GGA-PBE.

```
data_TiPdS3
_chemical_formula_sum 'Ti2 Pd2 S6'
_cell_length_a 5.876
_cell_length_b 5.844
_cell_length_c 5.844
_cell_angle_alpha 120.00
_cell_angle_beta 90.00
_cell_angle_gamma 90.00
_symmetry_space_group_name_H-M 'P 1'
_symmetry_Int_Tables_number 1
loop_
_symmetry_equiv_pos_as_xyz
'x,y,z'
loop_
_atom_site_label
_atom_site_type_symbol
_atom_site_fract_x
_atom_site_fract_y
_atom_site_fract_z
_atom_site_occupancy
Ti1 Ti 0.000 0.000 0.000 1
Ti2 Ti 0.500 0.000 0.000 1
Pd1 Pd 0.500 0.667 0.333 1
Pd2 Pd 0.000 0.667 0.333 1
S1 S 0.750 0.322 0.349 1
S2 S 0.750 0.027 0.678 1
S3 S 0.750 0.651 0.973 1
S4 S 0.250 0.651 0.678 1
S5 S 0.250 0.322 0.973 1
S6 S 0.250 0.027 0.349 1
```

- Fermi-level density of states: 0.47 states/eV/atom
- Offset from the most stable computed form: 0.0 kJ/mol of atoms
- Energy relative to the elements, uncorrected: -3.63 eV/f.u.
- M_tot: 0.00 μB per cell
- Total DFT energy (no corrections): -5.821 eV per atom

Record 2
An optimized crystal structure of TiTlPdS2, computed with GGA-PBE.

```
data_TiTlPdS2
_chemical_formula_sum 'Ti2 Tl2 Pd2 S4'
_cell_length_a 5.422
_cell_length_b 5.945
_cell_length_c 7.456
_cell_angle_alpha 113.50
_cell_angle_beta 90.00
_cell_angle_gamma 90.00
_symmetry_space_group_name_H-M 'P 1'
_symmetry_Int_Tables_number 1
loop_
_symmetry_equiv_pos_as_xyz
'x,y,z'
loop_
_atom_site_label
_atom_site_type_symbol
_atom_site_fract_x
_atom_site_fract_y
_atom_site_fract_z
_atom_site_occupancy
Ti1 Ti 0.500 0.750 0.000 1
Ti2 Ti 0.500 0.250 0.000 1
Tl1 Tl 0.208 0.750 0.500 1
Tl2 Tl 0.792 0.250 0.500 1
Pd1 Pd 0.000 0.000 0.000 1
Pd2 Pd 0.000 0.500 0.000 1
S1 S 0.684 0.885 0.771 1
S2 S 0.684 0.615 0.229 1
S3 S 0.316 0.385 0.771 1
S4 S 0.316 0.115 0.229 1
```

- Fermi-level density of states: 0.47 states/eV/atom
- Energy relative to the elements, uncorrected: -3.89 eV/f.u.
- M_tot: 1.72 μB per cell
- Total DFT energy (no corrections): -5.520 eV per atom

Record 3
An optimized crystal structure of Ti2Tl2PdS6, computed with GGA-PBE.

```
data_Ti2Tl2PdS6
_chemical_formula_sum 'Ti2 Tl2 Pd1 S6'
_cell_length_a 6.139
_cell_length_b 6.139
_cell_length_c 7.801
_cell_angle_alpha 97.24
_cell_angle_beta 97.24
_cell_angle_gamma 119.56
_symmetry_space_group_name_H-M 'P 1'
_symmetry_Int_Tables_number 1
loop_
_symmetry_equiv_pos_as_xyz
'x,y,z'
loop_
_atom_site_label
_atom_site_type_symbol
_atom_site_fract_x
_atom_site_fract_y
_atom_site_fract_z
_atom_site_occupancy
Ti1 Ti 0.319 0.681 0.500 1
Ti2 Ti 0.681 0.319 0.500 1
Tl1 Tl 0.839 0.161 0.000 1
Tl2 Tl 0.161 0.839 0.000 1
Pd1 Pd 0.000 0.000 0.500 1
S1 S 0.720 0.720 0.667 1
S2 S 0.077 0.416 0.691 1
S3 S 0.280 0.280 0.333 1
S4 S 0.416 0.077 0.691 1
S5 S 0.923 0.584 0.309 1
S6 S 0.584 0.923 0.309 1
```

- Fermi-level density of states: 0.33 states/eV/atom
- Energy relative to the elements, uncorrected: -8.82 eV/f.u.
- M_tot: 0.00 μB per cell
- Total DFT energy (no corrections): -5.391 eV per atom

Record 4
An optimized crystal structure of UTiPdS4, computed with GGA-PBE.

```
data_UTiPdS4
_chemical_formula_sum 'U2 Ti2 Pd2 S8'
_cell_length_a 7.989
_cell_length_b 7.336
_cell_length_c 7.336
_cell_angle_alpha 58.10
_cell_angle_beta 57.01
_cell_angle_gamma 57.01
_symmetry_space_group_name_H-M 'P 1'
_symmetry_Int_Tables_number 1
loop_
_symmetry_equiv_pos_as_xyz
'x,y,z'
loop_
_atom_site_label
_atom_site_type_symbol
_atom_site_fract_x
_atom_site_fract_y
_atom_site_fract_z
_atom_site_occupancy
U1 U 0.500 0.000 0.500 1
U2 U 0.000 0.000 0.500 1
Ti1 Ti 0.000 0.000 0.000 1
Ti2 Ti 0.000 0.500 0.500 1
Pd1 Pd 0.586 0.664 0.164 1
Pd2 Pd 0.414 0.336 0.836 1
S1 S 0.754 0.748 0.743 1
S2 S 0.246 0.757 0.752 1
S3 S 0.754 0.243 0.248 1
S4 S 0.246 0.252 0.257 1
S5 S 0.225 0.739 0.239 1
S6 S 0.797 0.739 0.239 1
S7 S 0.203 0.261 0.761 1
S8 S 0.775 0.261 0.761 1
```

- Fermi-level density of states: 0.82 states/eV/atom
- Energy relative to the elements, uncorrected: -7.96 eV/f.u.
- M_tot: 3.94 μB per cell
- Total DFT energy (no corrections): -6.979 eV per atom

Record 5
An optimized crystal structure of Tl2Pd3S, computed with GGA-PBE.

```
data_Tl2Pd3S
_chemical_formula_sum 'Tl4 Pd6 S2'
_cell_length_a 5.617
_cell_length_b 6.861
_cell_length_c 6.897
_cell_angle_alpha 104.78
_cell_angle_beta 114.03
_cell_angle_gamma 90.00
_symmetry_space_group_name_H-M 'P 1'
_symmetry_Int_Tables_number 1
loop_
_symmetry_equiv_pos_as_xyz
'x,y,z'
loop_
_atom_site_label
_atom_site_type_symbol
_atom_site_fract_x
_atom_site_fract_y
_atom_site_fract_z
_atom_site_occupancy
Tl1 Tl 0.689 0.596 0.377 1
Tl2 Tl 0.688 0.096 0.377 1
Tl3 Tl 0.312 0.904 0.623 1
Tl4 Tl 0.311 0.404 0.623 1
Pd1 Pd 0.642 0.250 0.000 1
Pd2 Pd 0.358 0.750 0.000 1
Pd3 Pd 0.113 0.056 0.227 1
Pd4 Pd 0.886 0.444 0.773 1
Pd5 Pd 0.114 0.556 0.227 1
Pd6 Pd 0.887 0.944 0.773 1
S1 S 0.800 0.750 0.000 1
S2 S 0.200 0.250 0.000 1
```

- Fermi-level density of states: 0.43 states/eV/atom
- Offset from the most stable computed form: 7.0 kJ/mol of atoms
- Energy relative to the elements, uncorrected: -0.63 eV/f.u.
- M_tot: 0.00 μB per cell
- Total DFT energy (no corrections): -4.178 eV per atom

Record 6
An optimized crystal structure of Tl2Pd3S, computed with GGA-PBE.

```
data_Tl2Pd3S
_chemical_formula_sum 'Tl4 Pd6 S2'
_cell_length_a 5.815
_cell_length_b 5.707
_cell_length_c 7.766
_cell_angle_alpha 111.56
_cell_angle_beta 90.00
_cell_angle_gamma 90.00
_symmetry_space_group_name_H-M 'P 1'
_symmetry_Int_Tables_number 1
loop_
_symmetry_equiv_pos_as_xyz
'x,y,z'
loop_
_atom_site_label
_atom_site_type_symbol
_atom_site_fract_x
_atom_site_fract_y
_atom_site_fract_z
_atom_site_occupancy
Tl1 Tl 0.750 0.588 0.709 1
Tl2 Tl 0.750 0.879 0.291 1
Tl3 Tl 0.250 0.412 0.291 1
Tl4 Tl 0.250 0.121 0.709 1
Pd1 Pd 0.500 0.000 0.000 1
Pd2 Pd 0.000 0.000 0.000 1
Pd3 Pd 0.750 0.398 0.330 1
Pd4 Pd 0.250 0.602 0.670 1
Pd5 Pd 0.750 0.068 0.670 1
Pd6 Pd 0.250 0.932 0.330 1
S1 S 0.750 0.327 0.000 1
S2 S 0.250 0.673 0.000 1
```

- Fermi-level density of states: 0.20 states/eV/atom
- Offset from the most stable computed form: 0.0 kJ/mol of atoms
- Energy relative to the elements, uncorrected: -1.07 eV/f.u.
- M_tot: 0.00 μB per cell
- Total DFT energy (no corrections): -4.251 eV per atom

Record 7
An optimized crystal structure of TlPdS2, computed with GGA-PBE.

```
data_TlPdS2
_chemical_formula_sum 'Tl2 Pd2 S4'
_cell_length_a 5.878
_cell_length_b 5.878
_cell_length_c 7.126
_cell_angle_alpha 65.64
_cell_angle_beta 65.64
_cell_angle_gamma 90.00
_symmetry_space_group_name_H-M 'P 1'
_symmetry_Int_Tables_number 1
loop_
_symmetry_equiv_pos_as_xyz
'x,y,z'
loop_
_atom_site_label
_atom_site_type_symbol
_atom_site_fract_x
_atom_site_fract_y
_atom_site_fract_z
_atom_site_occupancy
Tl1 Tl 0.000 0.000 0.000 1
Tl2 Tl 0.750 0.250 0.500 1
S1 S 0.573 0.125 0.250 1
S2 S 0.177 0.625 0.250 1
S3 S 0.375 0.427 0.750 1
S4 S 0.875 0.823 0.750 1
Pd1 Pd 0.500 0.500 0.000 1
Pd2 Pd 0.250 0.750 0.500 1
```

- Fermi-level density of states: 0.96 states/eV/atom
- Offset from the most stable computed form: 8.8 kJ/mol of atoms
- Energy relative to the elements, uncorrected: -0.46 eV/f.u.
- M_tot: 0.00 μB per cell
- Total DFT energy (no corrections): -4.068 eV per atom

Record 8
An optimized crystal structure of TlPd3S, computed with GGA-PBE.

```
data_TlPd3S
_chemical_formula_sum 'Tl1 Pd3 S1'
_cell_length_a 4.599
_cell_length_b 4.599
_cell_length_c 4.599
_cell_angle_alpha 90.00
_cell_angle_beta 90.00
_cell_angle_gamma 90.00
_symmetry_space_group_name_H-M 'P 1'
_symmetry_Int_Tables_number 1
loop_
_symmetry_equiv_pos_as_xyz
'x,y,z'
loop_
_atom_site_label
_atom_site_type_symbol
_atom_site_fract_x
_atom_site_fract_y
_atom_site_fract_z
_atom_site_occupancy
Tl1 Tl 0.500 0.500 0.500 1
S1 S 0.000 0.000 0.000 1
Pd1 Pd 0.000 0.500 0.000 1
Pd2 Pd 0.000 0.000 0.500 1
Pd3 Pd 0.500 0.000 0.000 1
```

- Fermi-level density of states: 1.31 states/eV/atom
- Offset from the most stable computed form: 0.0 kJ/mol of atoms
- Energy relative to the elements, uncorrected: -0.61 eV/f.u.
- M_tot: 0.00 μB per cell
- Total DFT energy (no corrections): -4.537 eV per atom

Record 9
An optimized crystal structure of Tl5PdS4, computed with GGA-PBE.

```
data_Tl5PdS4
_chemical_formula_sum 'Tl5 Pd1 S4'
_cell_length_a 3.949
_cell_length_b 7.910
_cell_length_c 9.070
_cell_angle_alpha 103.55
_cell_angle_beta 102.57
_cell_angle_gamma 90.00
_symmetry_space_group_name_H-M 'P 1'
_symmetry_Int_Tables_number 1
loop_
_symmetry_equiv_pos_as_xyz
'x,y,z'
loop_
_atom_site_label
_atom_site_type_symbol
_atom_site_fract_x
_atom_site_fract_y
_atom_site_fract_z
_atom_site_occupancy
Tl1 Tl 0.180 0.322 0.360 1
Tl2 Tl 0.162 0.796 0.323 1
Tl3 Tl 0.838 0.204 0.677 1
Tl4 Tl 0.500 0.500 0.000 1
Tl5 Tl 0.820 0.678 0.640 1
Pd1 Pd 0.500 0.000 0.000 1
S1 S 0.642 0.042 0.284 1
S2 S 0.010 0.207 0.020 1
S3 S 0.358 0.958 0.716 1
S4 S 0.990 0.793 0.980 1
```

- Fermi-level density of states: 0.29 states/eV/atom
- Energy relative to the elements, uncorrected: -2.32 eV/f.u.
- M_tot: 0.00 μB per cell
- Total DFT energy (no corrections): -3.585 eV per atom

Record 10
An optimized crystal structure of TlPd4S, computed with GGA-PBE.

```
data_TlPd4S
_chemical_formula_sum 'Tl2 Pd8 S2'
_cell_length_a 5.559
_cell_length_b 5.619
_cell_length_c 7.361
_cell_angle_alpha 99.59
_cell_angle_beta 112.13
_cell_angle_gamma 89.94
_symmetry_space_group_name_H-M 'P 1'
_symmetry_Int_Tables_number 1
loop_
_symmetry_equiv_pos_as_xyz
'x,y,z'
loop_
_atom_site_label
_atom_site_type_symbol
_atom_site_fract_x
_atom_site_fract_y
_atom_site_fract_z
_atom_site_occupancy
Tl1 Tl 0.864 0.750 0.000 1
Tl2 Tl 0.136 0.250 0.000 1
Pd1 Pd 0.488 0.074 0.816 1
Pd2 Pd 0.672 0.426 0.184 1
Pd3 Pd 0.512 0.926 0.184 1
Pd4 Pd 0.328 0.574 0.816 1
Pd5 Pd 0.928 0.887 0.647 1
Pd6 Pd 0.281 0.614 0.354 1
Pd7 Pd 0.072 0.113 0.353 1
Pd8 Pd 0.719 0.386 0.646 1
S1 S 0.500 0.000 0.500 1
S2 S 0.000 0.500 0.500 1
```

- Fermi-level density of states: 0.46 states/eV/atom
- Energy relative to the elements, uncorrected: -0.85 eV/f.u.
- M_tot: 0.00 μB per cell
- Total DFT energy (no corrections): -4.685 eV per atom

Record 11
An optimized crystal structure of TlPdS6, computed with GGA-PBE.

```
data_TlPdS6
_chemical_formula_sum 'Tl1 Pd1 S6'
_cell_length_a 7.264
_cell_length_b 4.869
_cell_length_c 8.708
_cell_angle_alpha 100.01
_cell_angle_beta 139.99
_cell_angle_gamma 92.90
_symmetry_space_group_name_H-M 'P 1'
_symmetry_Int_Tables_number 1
loop_
_symmetry_equiv_pos_as_xyz
'x,y,z'
loop_
_atom_site_label
_atom_site_type_symbol
_atom_site_fract_x
_atom_site_fract_y
_atom_site_fract_z
_atom_site_occupancy
Tl1 Tl 0.500 0.500 0.500 1
Pd1 Pd 0.000 0.000 0.000 1
S1 S 0.306 0.724 0.062 1
S2 S 0.093 0.705 0.568 1
S3 S 0.866 0.706 0.111 1
S4 S 0.907 0.295 0.432 1
S5 S 0.694 0.276 0.938 1
S6 S 0.134 0.294 0.889 1
```

- Fermi-level density of states: 0.40 states/eV/atom
- Energy relative to the elements, uncorrected: -0.29 eV/f.u.
- M_tot: 0.00 μB per cell
- Total DFT energy (no corrections): -4.076 eV per atom

Record 12
An optimized crystal structure of TlPdS2, computed with GGA-PBE.

```
data_TlPdS2
_chemical_formula_sum 'Tl2 Pd2 S4'
_cell_length_a 4.561
_cell_length_b 6.821
_cell_length_c 7.282
_cell_angle_alpha 90.00
_cell_angle_beta 108.25
_cell_angle_gamma 90.00
_symmetry_space_group_name_H-M 'P 1'
_symmetry_Int_Tables_number 1
loop_
_symmetry_equiv_pos_as_xyz
'x,y,z'
loop_
_atom_site_label
_atom_site_type_symbol
_atom_site_fract_x
_atom_site_fract_y
_atom_site_fract_z
_atom_site_occupancy
Tl1 Tl 0.686 0.750 0.373 1
Tl2 Tl 0.314 0.250 0.627 1
Pd1 Pd 0.005 0.250 0.009 1
Pd2 Pd 0.995 0.750 0.991 1
S1 S 0.115 0.506 0.231 1
S2 S 0.885 0.494 0.769 1
S3 S 0.115 0.994 0.231 1
S4 S 0.885 0.006 0.769 1
```

- Fermi-level density of states: 0.64 states/eV/atom
- Offset from the most stable computed form: 1.0 kJ/mol of atoms
- Energy relative to the elements, uncorrected: -0.78 eV/f.u.
- M_tot: 0.00 μB per cell
- Total DFT energy (no corrections): -4.149 eV per atom

- What is the M_tot in the fourth record?
  3.94 μB per cell